# 1
# SrOsRu2

A relaxed structure of SrOsRu2 (GGA-PBE, the Alexandria database).

Calculated values
energy of formation	1.06	eV per atom
D(E_F)	0.9714	states/eV/atom
V	17.4	A^3/atom
VASP energy	-0.250	Ha/atom

abc: 4.6221 4.6221 4.6221
angles: 120.07 120.07 89.87
With the nearest neighbours (Å) after each atom.
Atoms (fractional coordinates):
Sr  0.0000  0.0000  0.0000  4 Ru 2.83, 4 Os 2.83
Os  0.2500  0.7500  0.5000  4 Ru 2.83, 4 Sr 2.83
Ru  0.5000  0.5000  0.0000  4 Ru 2.83, 4 Os 2.83
Ru  0.7500  0.2500  0.5000  4 Ru 2.83, 4 Sr 2.83

# 2
# CoHg2Os

A relaxed structure of CoHg2Os (GGA-PBE, the Alexandria database).

Calculated values
energy of formation	1.10	eV per atom
D(E_F)	0.9079	states/eV/atom
V	18.6	A^3/atom
VASP energy	-0.134	Ha/atom

abc: 10.1533 10.1533 10.1533
angles: 157.86 157.86 31.51
With the nearest neighbours (Å) after each atom.
Atoms (fractional coordinates):
Co  0.0000  0.0000  0.0000  4 Os 2.76, 4 Hg 2.80
Co  0.7500  0.2500  0.5000  4 Os 2.76, 4 Hg 2.80
Hg  0.1240  0.6250  0.9990  4 Hg 2.75-2.76, 2 Co 2.80, 2 Os 2.81
Hg  0.3750  0.3740  0.4990  4 Hg 2.75-2.76, 2 Co 2.80, 2 Os 2.81
Hg  0.6260  0.1250  0.0010  4 Hg 2.75-2.76, 2 Co 2.80, 2 Os 2.81
Hg  0.8750  0.8760  0.5010  4 Hg 2.75-2.76, 2 Co 2.80, 2 Os 2.81
Os  0.2500  0.7500  0.5000  4 Co 2.76, 4 Hg 2.81
Os  0.5000  0.5000  0.0000  4 Co 2.76, 4 Hg 2.81